A geometry-optimized KZn2Ru structure. Source: the Alexandria database, functional GGA-PBE. Values from VASP.

Cell and atoms, written as Quantum ESPRESSO input:
```
&SYSTEM
  ibrav = 0, nat = 4, ntyp = 3
/
ATOMIC_SPECIES
K 39.10 K.upf
Zn 65.41 Zn.upf
Ru 101.07 Ru.upf
CELL_PARAMETERS angstrom
6.101 -0.024 0.012
3.290 5.139 -0.012
-3.901 -4.017 2.424
ATOMIC_POSITIONS angstrom
K 4.621 2.517 0.000
Zn 3.726 -0.590 1.218
Zn 0.131 0.071 0.000
Ru 1.708 1.657 1.206
```

Computed properties:
final energy = -0.0995 Ha/atom
excess energy over the best structure of this formula in the dataset = 292 meV/atom
density = 5.9 g cm⁻³
total magnetization = 0.00 μB per formula unit